# PBE TbSc3Tl3Te8, optimized geometry
data_TbSc3Tl3Te8
_chemical_formula_sum 'Tb2 Sc6 Tl6 Te16'
_cell_length_a 14.713
_cell_length_b 8.471
_cell_length_c 9.485
_cell_angle_alpha 90.00
_cell_angle_beta 121.21
_cell_angle_gamma 90.00
_symmetry_space_group_name_H-M 'C 1 2/m 1'
_symmetry_Int_Tables_number 12
loop_
_symmetry_equiv_pos_as_xyz
'x,y,z'
'-x,-y,-z'
'-x,y,-z'
'x,-y,z'
'x+1/2,y+1/2,z'
'-x+1/2,-y+1/2,-z'
'-x+1/2,y+1/2,-z'
'x+1/2,-y+1/2,z'
loop_
_atom_site_label
_atom_site_type_symbol
_atom_site_fract_x
_atom_site_fract_y
_atom_site_fract_z
Tb1 Tb 0.000 0.000 0.000
Sc1 Sc 0.000 0.500 0.000
Sc2 Sc 0.250 0.250 0.000
Tl1 Tl 0.000 0.000 0.500
Tl2 Tl 0.250 0.250 0.500
Te1 Te 0.017 0.262 0.788
Te2 Te 0.235 0.500 0.204
Te3 Te 0.245 0.000 0.212
# * uncorrected energy: -4.69 eV per atom
# * mass density: 6.3 Mg/m³

---

# PBE Tb3TmSc2Te6, optimized geometry
data_Tb3TmSc2Te6
_chemical_formula_sum 'Tb6 Tm2 Sc4 Te12'
_cell_length_a 18.745
_cell_length_b 4.278
_cell_length_c 8.628
_cell_angle_alpha 90.00
_cell_angle_beta 103.75
_cell_angle_gamma 90.00
_symmetry_space_group_name_H-M 'C 1 2/m 1'
_symmetry_Int_Tables_number 12
loop_
_symmetry_equiv_pos_as_xyz
'x,y,z'
'-x,-y,-z'
'-x,y,-z'
'x,-y,z'
'x+1/2,y+1/2,z'
'-x+1/2,-y+1/2,-z'
'-x+1/2,y+1/2,-z'
'x+1/2,-y+1/2,z'
loop_
_atom_site_label
_atom_site_type_symbol
_atom_site_fract_x
_atom_site_fract_y
_atom_site_fract_z
Tb1 Tb 0.000 0.000 0.000
Tb2 Tb 0.164 0.500 0.329
Tm1 Tm 0.000 0.000 0.500
Sc1 Sc 0.168 0.500 0.835
Te1 Te 0.006 0.500 0.748
Te2 Te 0.167 0.000 0.593
Te3 Te 0.170 0.000 0.073
# * uncorrected energy: -5.37 eV per atom
# * mass density: 7.4 Mg/m³

---

# PBE TbTm2ScTe4, optimized geometry
data_TbTm2ScTe4
_chemical_formula_sum 'Tb1 Tm2 Sc1 Te4'
_cell_length_a 7.443
_cell_length_b 4.246
_cell_length_c 7.475
_cell_angle_alpha 90.00
_cell_angle_beta 108.91
_cell_angle_gamma 90.00
_symmetry_space_group_name_H-M 'P 1 2/m 1'
_symmetry_Int_Tables_number 10
loop_
_symmetry_equiv_pos_as_xyz
'x,y,z'
'-x,-y,-z'
'-x,y,-z'
'x,-y,z'
loop_
_atom_site_label
_atom_site_type_symbol
_atom_site_fract_x
_atom_site_fract_y
_atom_site_fract_z
Tb1 Tb 0.000 0.000 0.000
Tm1 Tm 0.500 0.000 0.500
Tm2 Tm 0.500 0.500 0.000
Sc1 Sc 0.000 0.500 0.500
Te1 Te 0.246 0.000 0.742
Te2 Te 0.251 0.500 0.257
# * uncorrected energy: -5.24 eV per atom
# * mass density: 7.8 Mg/m³

---

# PBE Tb3Tm2ScTe6, optimized geometry
data_Tb3Tm2ScTe6
_chemical_formula_sum 'Tb6 Tm4 Sc2 Te12'
_cell_length_a 18.850
_cell_length_b 4.296
_cell_length_c 8.680
_cell_angle_alpha 90.00
_cell_angle_beta 103.86
_cell_angle_gamma 90.00
_symmetry_space_group_name_H-M 'C 1 2/m 1'
_symmetry_Int_Tables_number 12
loop_
_symmetry_equiv_pos_as_xyz
'x,y,z'
'-x,-y,-z'
'-x,y,-z'
'x,-y,z'
'x+1/2,y+1/2,z'
'-x+1/2,-y+1/2,-z'
'-x+1/2,y+1/2,-z'
'x+1/2,-y+1/2,z'
loop_
_atom_site_label
_atom_site_type_symbol
_atom_site_fract_x
_atom_site_fract_y
_atom_site_fract_z
Tb1 Tb 0.000 0.000 0.000
Tb2 Tb 0.170 0.500 0.336
Tm1 Tm 0.166 0.500 0.832
Sc1 Sc 0.000 0.000 0.500
Te1 Te 0.000 0.500 0.260
Te2 Te 0.161 0.000 0.585
Te3 Te 0.168 0.000 0.080
# * uncorrected energy: -5.23 eV per atom
# * mass density: 7.9 Mg/m³